Below is a relaxed Tc3PbO crystal, with properties calculated at the PBE level.

**Crystal system**: cubic
**Density of states at the Fermi level**: 1.497 states/eV/atom
**Magnetization**: 2.135 μB per atom
**Formation energy without anion corrections**: 1393 kJ/mol of formula units

```
Tc3PbO
1.0
5.210 0.000 0.000
0.000 5.210 0.000
0.000 0.000 5.210
Tc Pb O
3 1 1
direct
0.000 0.000 0.500
0.000 0.500 0.000
0.500 0.000 0.000
0.000 0.000 0.000
0.500 0.500 0.500
```